[1]
4
Lattice="-3.241 0.892 -0.245 -0.362 -1.888 -2.080 0.263 -4.093 3.668" Properties=species:S:1:pos:R:3 comment="SiPHRu (PBE, relaxed)" total_magnetization_mub_per_fu=0.00 spacegroup="Pm, No. 6" relative_energy_mev_per_atom=67 pbc="T T T"
Si -2.026 -0.668 -0.969
P -2.993 -2.139 0.534
H -1.009 -2.452 0.472
Ru -2.951 -2.578 2.854

---

[2]
8
Lattice="5.892 0.000 0.006 0.000 2.964 0.000 -0.696 0.000 7.542" Properties=species:S:1:pos:R:3 comment="SiPHRu (PBE, relaxed)" total_magnetization_mub_per_fu=0.00 spacegroup="Cm, No. 8" relative_energy_mev_per_atom=204 pbc="T T T"
Si 1.771 0.000 1.834
Si 1.423 1.482 5.605
P 3.351 0.000 6.447
P 3.699 1.482 2.676
H 0.264 0.000 1.856
H -0.084 1.482 5.627
Ru 2.826 0.000 4.184
Ru 3.174 1.482 0.413

---

[3]
8
Lattice="3.482 0.000 -0.005 0.000 4.584 0.000 -2.002 0.000 6.216" Properties=species:S:1:pos:R:3 comment="SiPHRu (PBE, relaxed)" total_magnetization_mub_per_fu=0.00 spacegroup="Cm, No. 8" relative_energy_mev_per_atom=135 pbc="T T T"
Si -1.531 0.000 5.529
Si -0.530 2.292 2.420
P 0.221 0.000 4.088
P 1.222 2.292 0.980
H 2.314 0.000 1.198
H 1.313 2.292 4.306
Ru 0.494 0.000 1.683
Ru -0.507 2.292 4.791

---

[4]
8
Lattice="2.801 0.000 0.000 0.000 3.177 0.000 0.000 0.000 11.026" Properties=species:S:1:pos:R:3 comment="SiPHRu (PBE, relaxed)" total_magnetization_mub_per_fu=0.00 spacegroup="Amm2, No. 38" relative_energy_mev_per_atom=108 pbc="T T T"
Si 1.401 0.000 9.241
Si 1.401 1.589 3.728
P 1.401 0.000 6.901
P 1.401 1.589 1.388
H 1.401 0.000 3.382
H 1.401 1.589 8.894
Ru 0.000 0.000 0.282
Ru 0.000 1.589 5.795

---

[5]
8
Lattice="-1.124 -4.219 -3.523 -0.627 -1.734 2.276 -4.740 5.776 3.093" Properties=species:S:1:pos:R:3 comment="SiPHRu (PBE, relaxed)" total_magnetization_mub_per_fu=0.00 spacegroup="Cm, No. 8" relative_energy_mev_per_atom=75 pbc="T T T"
Si -2.626 3.193 1.708
Si -0.570 -0.562 1.300
P -3.010 1.501 0.313
P -0.954 -2.254 -0.095
H -1.836 -2.524 -2.429
H -4.520 -0.503 0.256
Ru -4.947 2.905 0.849
Ru -2.891 -0.850 0.441

---

[6]
8
Lattice="2.862 0.000 0.000 0.000 2.965 0.000 0.000 0.000 11.075" Properties=species:S:1:pos:R:3 comment="SiPHRu (PBE, relaxed)" total_magnetization_mub_per_fu=0.00 spacegroup="Imm2, No. 44" relative_energy_mev_per_atom=258 pbc="T T T"
Si 0.000 0.000 5.566
Si 1.431 1.483 0.029
P 0.000 1.483 7.630
P 1.431 0.000 2.092
H 0.000 0.000 10.060
H 1.431 1.483 4.522
Ru 0.000 1.483 3.446
Ru 1.431 0.000 8.983

---

[7]
8
Lattice="5.230 0.000 0.005 0.000 2.913 0.000 -5.084 0.000 6.863" Properties=species:S:1:pos:R:3 comment="SiPHRu (PBE, relaxed)" total_magnetization_mub_per_fu=0.00 spacegroup="Cm, No. 8" relative_energy_mev_per_atom=103 pbc="T T T"
Si -1.029 0.000 1.975
Si -3.570 1.456 5.407
P 1.960 0.000 2.360
P -0.582 1.456 5.792
H 1.483 0.000 0.828
H -1.059 1.456 4.260
Ru -2.121 0.000 6.727
Ru 0.421 1.456 3.295

---

[8]
4
Lattice="3.253 0.000 0.000 -1.627 2.817 0.000 0.000 0.000 5.329" Properties=species:S:1:pos:R:3 comment="SiPHRu (PBE, relaxed)" total_magnetization_mub_per_fu=0.00 spacegroup="P3m1, No. 156" relative_energy_mev_per_atom=236 pbc="T T T"
Si 0.000 1.878 3.019
P 0.000 0.000 4.285
H 1.627 0.939 0.958
Ru 0.000 0.000 1.306